The following is a PBE calculation of a relaxed GaBiAs2Pt crystal, from the Alexandria database.

The structure belongs to space group P4/mmm (No. 123); the cell edges are 4.750, 4.750 and 5.460 Å and the angles 90.00°, 90.00° and 90.00°. The asymmetric unit holds Ga at (0.000, 0.000, 0.000), Bi at (0.000, 0.000, 0.500), As at (0.000, 0.500, 0.000) and Pt at (0.500, 0.500, 0.500).

The crystal system is tetragonal. For the formation energy, the calculation gives 0.889 eV/atom. As for the total magnetization: 0.00 μB per formula unit.